Entry 1:
Density functional theory data (PBE) for an optimized crystal structure of ThMgGe.

a b c (Å): 8.257 8.257 4.274
angles (deg): 90.00 90.00 90.00
Sites, in units of the cell vectors:
1 Th 0.073 0.732 0.000
2 Th 0.268 0.073 0.500
3 Th 0.732 0.927 0.500
4 Th 0.927 0.268 0.000
5 Mg 0.338 0.392 0.000
6 Mg 0.392 0.662 0.500
7 Mg 0.608 0.338 0.500
8 Mg 0.662 0.608 0.000
9 Ge 0.144 0.440 0.500
10 Ge 0.440 0.856 0.000
11 Ge 0.560 0.144 0.000
12 Ge 0.856 0.560 0.500

Results
* Fermi-level density of states: 0.47 states/eV per atom
* mass density: 7500 kg/m3
* symmetry: No. 84
* energy relative to the elements: -385 meV/atom
* total moment: 0.00 μB/f.u.

***

Entry 2:
Density functional theory data (PBE) for an optimized crystal structure of ThMgZnGe.

a b c (Å): 4.986 4.986 4.986
angles (deg): 60.00 60.00 60.00
Sites, in units of the cell vectors:
1 Th 0.000 0.000 0.000
2 Mg 0.500 0.500 0.500
3 Zn 0.750 0.750 0.750
4 Ge 0.250 0.250 0.250

Results
* Fermi-level density of states: 0.76 states/eV per atom
* mass density: 7473 kg/m3
* symmetry: No. 216
* energy relative to the elements: -283 meV/atom
* total moment: 0.00 μB/f.u.

***

Entry 3:
Density functional theory data (PBE) for an optimized crystal structure of MgTiGe3.

a b c (Å): 4.922 4.922 4.922
angles (deg): 90.00 90.00 90.00
Sites, in units of the cell vectors:
1 Mg 0.000 0.000 0.000
2 Ti 0.500 0.500 0.500
3 Ge 0.000 0.500 0.500
4 Ge 0.500 0.000 0.500
5 Ge 0.500 0.500 0.000

Results
* Fermi-level density of states: 0.34 states/eV per atom
* mass density: 4040 kg/m3
* symmetry: No. 221
* energy relative to the elements: 211 meV/atom
* total moment: 0.00 μB/f.u.

***

Entry 4:
Density functional theory data (PBE) for an optimized crystal structure of Mg2TiGe.

a b c (Å): 6.148 6.148 6.148
angles (deg): 100.93 100.93 128.36
Sites, in units of the cell vectors:
1 Mg 0.087 0.625 0.962
2 Mg 0.375 0.337 0.462
3 Mg 0.663 0.125 0.038
4 Mg 0.875 0.913 0.538
5 Ti 0.250 0.750 0.500
6 Ti 0.500 0.500 0.000
7 Ge 0.000 0.000 0.000
8 Ge 0.750 0.250 0.500

Results
* Fermi-level density of states: 0.48 states/eV per atom
* mass density: 3424 kg/m3
* symmetry: No. 122
* energy relative to the elements: 200 meV/atom
* total moment: 0.00 μB/f.u.